# PBE Al5Fe4Ni, optimized geometry
data_Al5Fe4Ni
_chemical_formula_sum 'Al5 Fe4 Ni1'
_space_group_name_H-M_alt 'P 1'
_space_group_IT_number 1
_space_group_name_Hall 'P 1'
_cell_length_a 2.884
_cell_length_b 2.884
_cell_length_c 14.288
_cell_angle_alpha 90.00
_cell_angle_beta 90.00
_cell_angle_gamma 90.00
loop_
_atom_site_label
_atom_site_fract_x
_atom_site_fract_y
_atom_site_fract_z
_atom_site_occupancy
Ni1 0.000 0.000 0.000 1
Fe1 0.000 0.000 0.801 1
Al1 0.500 0.500 0.103 1
Al2 0.500 0.500 0.299 1
Al3 0.500 0.500 0.701 1
Fe2 0.000 0.000 0.600 1
Fe3 0.000 0.000 0.400 1
Fe4 0.000 0.000 0.199 1
Al4 0.500 0.500 0.897 1
Al5 0.500 0.500 0.500 1
# uncorrected energy = -6.2360 eV/atom
# calculated formation energy = -402 meV/atom